Compound: ErAgTe
Source: the Open Quantum Materials Database
Functional: PBE
Structure: optimized geometry

```
ErAgTe
1.0
0.000 3.529 3.529
3.529 0.000 3.529
3.529 3.529 0.000
Er Te Ag
1 1 1
Direct
0.000 0.000 0.000
0.750 0.750 0.750
0.250 0.250 0.250
```

## Properties
V (Å³/f.u.): 88
Total moment (μB/f.u.): 0.00
Energy relative to the lowest polymorph listed for this composition (eV/atom): 0.0000
Symmetry: No. 216